5
Lattice="4.3078 0.0000 0.0000 0.0000 4.3078 0.0000 0.0000 0.0000 4.3078" Properties=species:S:1:pos:R:3 comment="Co3PSe, relaxed, DFT PBE-GGA" sg="Pm-3m (221)" e_above_lowest_polymorph_ev_per_fu=2.69 formation_energy_uncorrected_ev_per_atom=0.896 magmom_total_mub_per_atom=0.431 energy_ev_per_atom=-5.147 pbc="T T T"
Co 0.0000 0.0000 2.1539
Co 0.0000 2.1539 0.0000
Co 2.1539 0.0000 0.0000
P 2.1539 2.1539 2.1539
Se 0.0000 0.0000 0.0000